Here is TiMoC3 after structural relaxation from Alexandria. Energies are from PBE.

Summary:
Formation energy from the elements in eV per atom: 2.039
Polymorph energy (0 for the lowest one) in eV/atom: 0.482
Total energy in eV/atom: -7.240
Calculated volume in Å³ per cell: 58

Unit cell a=3.879 b=3.879 c=3.879 alpha=90.00 beta=90.00 gamma=90.00
Space group Pm-3m (No. 221)
One atom of each set of equivalent atoms:
Ti 0.000 0.000 0.000 (multiplicity 1)
Mo 0.500 0.500 0.500 (multiplicity 1)
C 0.000 0.000 0.500 (multiplicity 3)